1.
An optimized crystal structure of DyPbAu. Source: Alexandria via LeMat-Bulk, functional PBE-GGA.

abc: 3.6005 3.6005 11.9242
angles: 90.00 90.00 90.00
Space group I4mm (No. 107)
One atom of each set of equivalent atoms:
Dy1 0.0000 0.0000 0.0000 [2 per cell]
Pb1 0.0000 0.0000 0.7023 [2 per cell]
Au1 0.0000 0.0000 0.3731 [2 per cell]

Computed properties:
**Uncorrected energy**: -4.38 eV per atom
**Formation energy from the elements**: -1.545 eV per formula unit

***

2.
An optimized crystal structure of Mn2TlCo. Source: Alexandria via LeMat-Bulk, functional PBE-GGA.

abc: 9.7999 3.2273 4.3701
angles: 90.00 116.31 90.00
Space group Cm (No. 8)
One atom of each set of equivalent atoms:
Mn1 0.0000 0.0000 0.0000 [2 per cell]
Mn2 0.2323 0.0000 0.7323 [2 per cell]
Tl1 0.4617 0.0000 0.4617 [2 per cell]
Co1 0.2108 0.5000 0.2109 [2 per cell]

Computed properties:
**Uncorrected energy**: -6.53 eV per atom
**Formation energy from the elements**: 1.696 eV per formula unit

***

3.
An optimized crystal structure of CsTa2TlCl. Source: Alexandria via LeMat-Bulk, functional PBE-GGA.

abc: 4.7125 4.7125 6.4476
angles: 90.00 90.00 90.00
Space group P4/mmm (No. 123)
One atom of each set of equivalent atoms:
Cs1 0.0000 0.0000 0.0000 [1 per cell]
Ta1 0.0000 0.5000 0.5000 [2 per cell]
Tl1 0.5000 0.5000 0.0000 [1 per cell]
Cl1 0.5000 0.5000 0.5000 [1 per cell]

Computed properties:
**Uncorrected energy**: -4.51 eV per atom
**Formation energy from raw total energies**: 1.246 eV per atom

***

- The highest uncorrected energy belongs to which entry?
  DyPbAu